Density functional theory data (GGA+U) for crystalline Rb3Fe2PbF9 at its relaxed geometry.

a b c (Å): 6.209 6.209 7.800
angles (deg): 90.00 90.00 120.00
Fractional positions:
Rb 0.000 0.000 0.000
Rb 0.333 0.667 0.683
Rb 0.667 0.333 0.317
Fe 0.333 0.667 0.148
Fe 0.667 0.333 0.852
Pb 0.000 0.000 0.500
F 0.000 0.500 0.000
F 0.178 0.355 0.309
F 0.178 0.822 0.309
F 0.355 0.178 0.691
F 0.500 0.000 0.000
F 0.500 0.500 0.000
F 0.645 0.822 0.309
F 0.822 0.178 0.691
F 0.822 0.645 0.691

Computed properties:
- M_tot: 8.0 μB/cell
- Total DFT energy (no corrections): -4.75 eV/atom